(1)
This record from Alexandria describes a geometry-optimized BeCrRh2 structure. The functional is GGA-PBE.

The volume is 98.8 Å³/cell. As for the size of the total moment: 1.52 μB/f.u. Its calculated density is 8.97 g/cm3. Its crystal system is monoclinic. The calculation puts the total energy at -7.21 eV per atom. For the energy of formation from the pure elements, the calculation gives -0.202 eV/atom. Its density of states at the Fermi level is 6.33 states/eV/cell.

The space group is Cm (No. 8) and the conventional cell measures 8.7554, 2.7686 and 4.2689 Å, with angles of 90.00, 107.27 and 90.00 degrees. Symmetry generates all atoms from Be at (0.0000, 0.0000, 0.0000), Cr at (0.2583, 0.0000, 0.6505), Rh at (0.0053, 0.5000, 0.4963) and Rh at (0.2330, 0.5000, 0.1227).


(2)
This record from Alexandria describes a geometry-optimized BaTl2Tc structure. The functional is GGA-PBE.

The volume is 221.8 Å³/cell. As for the size of the total moment: 2.11 μB/f.u. Its calculated density is 9.64 g/cm3. Its crystal system is tetragonal. The calculation puts the total energy at -3.72 eV per atom. For the energy of formation from the pure elements, the calculation gives 0.538 eV/atom. Its density of states at the Fermi level is 8.38 states/eV/cell.

The space group is I4/mmm (No. 139) and the conventional cell measures 4.9626, 4.9626 and 9.0069 Å, with angles of 90.00, 90.00 and 90.00 degrees. Symmetry generates all atoms from Ba at (0.0000, 0.0000, 0.0000), Tl at (0.0000, 0.5000, 0.2500) and Tc at (0.0000, 0.0000, 0.5000).


(3)
This record from Alexandria describes a geometry-optimized KCdSi4 structure. The functional is GGA-PBE.

The volume is 464.9 Å³/cell. As for the size of the total moment: 0.00 μB/f.u. Its calculated density is 3.77 g/cm3. Its crystal system is cubic. The calculation puts the total energy at -3.55 eV per atom. The formation energy (no corrections) is 0.402 eV per atom. Its density of states at the Fermi level is 7.19 states/eV/cell.

The space group is F-43m (No. 216) and the conventional cell measures 7.7465, 7.7465 and 7.7465 Å, with angles of 90.00, 90.00 and 90.00 degrees. Symmetry generates all atoms from K at (0.0000, 0.0000, 0.0000), Cd at (0.2500, 0.2500, 0.2500) and Si at (0.1246, 0.1246, 0.6246).


(4)
This record from Alexandria describes a geometry-optimized YBeCo2 structure. The functional is GGA-PBE.

The volume is 185.7 Å³/cell. As for the size of the total moment: 1.50 μB/f.u. Its calculated density is 5.79 g/cm3. Its crystal system is trigonal. The calculation puts the total energy at -6.27 eV per atom. For the energy of formation from the pure elements, the calculation gives -0.174 eV/atom. Its density of states at the Fermi level is 14.44 states/eV/cell.

The space group is R-3m (No. 166, hexagonal axes) and the conventional cell measures 3.8687, 3.8687 and 14.3280 Å, with angles of 90.00, 90.00 and 120.00 degrees. Symmetry generates all atoms from Y at (0.0000, 0.0000, 0.0000), Be at (0.0000, 0.0000, 0.5000) and Co at (0.0000, 0.0000, 0.1894).


(5)
This record from Alexandria describes a geometry-optimized Ac2Ga3Ag5 structure. The functional is GGA-PBE.

The volume is 922.3 Å³/cell. As for the size of the total moment: 0.00 μB/f.u. Its calculated density is 8.66 g/cm3. Its crystal system is orthorhombic. The calculation puts the total energy at -3.48 eV per atom. For the energy of formation from the pure elements, the calculation gives -0.320 eV/atom. Its density of states at the Fermi level is 26.13 states/eV/cell.

The space group is Ibam (No. 72) and the conventional cell measures 10.9470, 13.0631 and 6.4496 Å, with angles of 90.00, 90.00 and 90.00 degrees. Symmetry generates all atoms from Ac at (0.2487, 0.1275, 0.0000), Ga at (0.0000, 0.0000, 0.2500), Ga at (0.1302, 0.3792, 0.0000), Ag at (0.0000, 0.2578, 0.2500), Ag at (0.0000, 0.5000, 0.2500) and Ag at (0.1324, 0.1175, 0.5000).


(6)
This record from Alexandria describes a geometry-optimized BaHfIn2Cl8 structure. The functional is GGA-PBE.

The volume is 436.5 Å³/cell. As for the size of the total moment: 0.00 μB/f.u. Its calculated density is 3.15 g/cm3. Its crystal system is monoclinic. The calculation puts the total energy at -4.34 eV per atom. The formation energy (no corrections) is -1.664 eV per atom. Its density of states at the Fermi level is 0.00 states/eV/cell.

The space group is P2/m (No. 10) and the conventional cell measures 6.8584, 8.7624 and 7.2716 Å, with angles of 90.00, 92.77 and 90.00 degrees. Symmetry generates all atoms from Ba at (0.0000, 0.0000, 0.0000), Hf at (0.0000, 0.5000, 0.0000), In at (0.5000, 0.2573, 0.5000), Cl at (0.1231, 0.2976, 0.7939), Cl at (0.3087, 0.5000, 0.1755) and Cl at (0.3560, 0.0000, 0.2712).


(7)
This record from Alexandria describes a geometry-optimized Sb4Ru3 structure. The functional is GGA-PBE.

The volume is 275.2 Å³/cell. As for the size of the total moment: 0.26 μB/f.u. Its calculated density is 9.54 g/cm3. Its crystal system is tetragonal. The calculation puts the total energy at -6.17 eV per atom. The formation energy (no corrections) is 0.161 eV per atom. Its density of states at the Fermi level is 12.39 states/eV/cell.

The space group is I4/mmm (No. 139) and the conventional cell measures 3.6150, 3.6150 and 21.0626 Å, with angles of 90.00, 90.00 and 90.00 degrees. Symmetry generates all atoms from Sb at (0.0000, 0.0000, 0.0689), Sb at (0.0000, 0.0000, 0.3293), Ru at (0.0000, 0.0000, 0.2019) and Ru at (0.0000, 0.0000, 0.5000).


(8)
This record from Alexandria describes a geometry-optimized NaLiNpO4 structure. The functional is GGA-PBE.

The volume is 392.5 Å³/cell. As for the size of the total moment: 1.00 μB/f.u. Its calculated density is 5.60 g/cm3. Its crystal system is orthorhombic. The calculation puts the total energy at -7.61 eV per atom. The formation energy (no corrections) is -2.469 eV per atom. Its density of states at the Fermi level is 8.63 states/eV/cell.

The space group is Imma (No. 74) and the conventional cell measures 6.6684, 6.9926 and 8.4181 Å, with angles of 90.00, 90.00 and 90.00 degrees. Symmetry generates all atoms from Na at (0.0000, 0.2500, 0.1241), Li at (0.2500, 0.2500, 0.7500), Np at (0.0000, 0.0000, 0.5000), O at (0.0000, 0.0268, 0.7259) and O at (0.1971, 0.2500, 0.4996).